[1]
Crystalline ZnCd at its relaxed geometry, computed with PBE.

Cell lengths 7.752, 5.924, 4.866 Å; angles 90.00, 90.00, 100.45 degrees
Sites, in units of the cell vectors:
Cd 0.690 0.170 0.000
Cd 0.320 0.328 0.000
Cd 0.671 0.673 0.000
Cd 0.551 0.383 0.500
Cd 0.903 0.728 0.500
Cd 0.532 0.885 0.500
Zn 0.009 0.002 0.000
Zn 0.008 0.502 0.000
Zn 0.307 0.825 0.000
Zn 0.213 0.053 0.500
Zn 0.915 0.230 0.500
Zn 0.214 0.553 0.500

Output
ρ in g cm⁻³: 8.06
Space group: P2_1/m
E_form in eV per formula unit: 0.1

=====

[2]
Crystalline LiFeSiAg at its relaxed geometry, computed with PBE.

Cell lengths 4.228, 4.228, 4.228 Å; angles 60.00, 60.00, 60.00 degrees
Sites, in units of the cell vectors:
Ag 0.500 0.500 0.500
Fe 0.750 0.750 0.750
Li 0.250 0.250 0.250
Si 0.000 0.000 0.000

Output
ρ in g cm⁻³: 6.18
Space group: F-43m
Relative energy among the computed polymorphs in meV/atom: 33